Entry from the Alexandria database: a geometry-optimized PmSiBIr2 structure (PBE).

```
PmSiBIr2
1.0
4.0072 0.0000 0.0000
-2.0036 5.6228 0.0000
0.0000 0.0000 7.2275
B Ir Si Pm
2 4 2 2
direct
0.0000 0.0000 0.5000
0.0000 0.0000 0.0000
0.8315 0.6631 0.4437
0.1685 0.3369 0.5563
0.8315 0.6631 0.0563
0.1685 0.3369 0.9437
0.2718 0.5436 0.2500
0.7282 0.4564 0.7500
0.5520 0.1040 0.2500
0.4480 0.8960 0.7500
```

Space-group type   Cmcm, No. 63
Final energy   -7.762 eV/atom
Uncorrected formation energy   -847 meV per atom
Theoretical density   11.6 Mg/m³

Entry from the Alexandria database: a geometry-optimized PrB2Ir structure (PBE).

```
PrB2Ir
1.0
-2.2362 -2.3697 -0.5500
2.4641 -2.8108 5.3027
-3.6768 2.7364 3.1591
B Pr Ir
4 2 2
direct
0.7480 0.5156 0.9038
0.2520 0.4844 0.4038
0.7480 0.5156 0.5962
0.2520 0.4844 0.0962
0.7071 0.1622 0.2500
0.2929 0.8378 0.7500
0.7817 0.6743 0.2500
0.2183 0.3257 0.7500
```

Distance to the lowest polymorph of the same formula   0.000 eV per atom
Space-group type   P2_1/m, No. 11
Final energy   -7.212 eV/atom
Formation energy   -0.46 eV per atom
Theoretical density   9.9 Mg/m³

Entry from the Alexandria database: a geometry-optimized PrBIr structure (PBE).

```
PrBIr
1.0
4.5909 0.0000 0.0000
0.0000 3.6964 0.0000
0.0000 -1.8482 3.2012
B Pr Ir
1 1 1
direct
0.1665 0.6667 0.3333
0.6668 0.3333 0.6667
0.1667 0.0000 0.0000
```

Distance to the lowest polymorph of the same formula   0.000 eV per atom
Space-group type   P-6m2, No. 187
Final energy   -7.290 eV/atom
Formation energy   -0.52 eV per atom
Theoretical density   10.5 Mg/m³

Entry from the Alexandria database: a geometry-optimized PrB2Ir2 structure (PBE).

```
PrB2Ir2
1.0
5.6230 0.0742 0.0011
-2.3475 5.1101 0.0011
-1.6367 -2.5905 5.3156
B Ir Pr
4 4 2
direct
0.4456 0.5544 0.7500
0.8041 0.1959 0.7500
0.5544 0.4456 0.2500
0.1959 0.8041 0.2500
0.2446 0.4945 0.9892
0.4945 0.2446 0.4892
0.5055 0.7554 0.5108
0.7554 0.5055 0.0108
0.1251 0.8749 0.7500
0.8749 0.1251 0.2500
```

Space-group type   Fddd, No. 70
Final energy   -7.886 eV/atom
Formation energy   -0.71 eV per atom
Theoretical density   11.8 Mg/m³

Entry from the Alexandria database: a geometry-optimized PrBIr structure (PBE).

```
PrBIr
1.0
-2.7617 1.3176 2.6800
-4.1124 -0.4654 -4.0088
0.3424 -4.6793 2.6532
Ir Pr B
2 2 2
direct
0.7500 0.8459 0.3704
0.2500 0.1541 0.6296
0.7500 0.3065 0.1828
0.2500 0.6935 0.8172
0.2500 0.7897 0.3358
0.7500 0.2103 0.6642
```

Distance to the lowest polymorph of the same formula   0.004 eV per atom
Space-group type   P2_1/m, No. 11
Final energy   -7.286 eV/atom
Formation energy   -0.51 eV per atom
Theoretical density   9.5 Mg/m³

Entry from the Alexandria database: a geometry-optimized PrB4Ir6 structure (PBE).

```
PrB4Ir6
1.0
2.4668 0.9205 5.7088
0.2240 -5.8247 0.2028
5.0550 -1.9680 1.3539
Ir B Pr
6 4 1
direct
0.5476 0.3653 0.4526
0.1592 0.3528 0.3478
0.5312 0.8425 0.4762
0.7714 0.5906 0.7291
0.5358 0.9774 0.9581
0.0249 0.3494 0.9674
0.1942 0.6641 0.4563
0.4745 0.1939 0.2145
0.3767 0.2932 0.9343
0.8449 0.0138 0.5018
0.0397 0.8569 0.9617
```

Space-group type   P1, No. 1
Final energy   -7.949 eV/atom
Formation energy   -0.25 eV per atom
Theoretical density   15.0 Mg/m³

Entry from the Alexandria database: a geometry-optimized PrB4Ir4 structure (PBE).

```
PrB4Ir4
1.0
-4.6294 -0.7205 2.7746
2.8096 -2.1863 4.1200
0.7908 6.8595 3.1007
Ir B Pr
8 8 2
direct
0.0000 0.2492 0.3595
0.7492 0.5000 0.8595
0.2492 0.0000 0.6405
0.0000 0.7508 0.3595
0.2508 0.5000 0.8595
0.7508 0.0000 0.6405
0.5000 0.2508 0.1405
0.5000 0.7492 0.1405
0.6721 0.0000 0.3424
0.1721 0.5000 0.1576
0.0000 0.3279 0.6576
0.5000 0.8279 0.8424
0.0000 0.6721 0.6576
0.8279 0.5000 0.1576
0.3279 0.0000 0.3424
0.5000 0.1721 0.8424
0.0000 0.0000 0.0000
0.5000 0.5000 0.5000
```

Distance to the lowest polymorph of the same formula   0.096 eV per atom
Space-group type   P4_2/nmc, No. 137
Final energy   -7.892 eV/atom
Formation energy   -0.46 eV per atom
Theoretical density   14.1 Mg/m³

Entry from the Alexandria database: a geometry-optimized PrB3Ir5 structure (PBE).

```
PrB3Ir5
1.0
-0.2624 -3.9165 -0.9227
4.1758 0.8177 4.1526
-7.8242 -1.3940 8.1424
Ir B Pr
10 6 2
direct
0.0000 0.0000 0.5000
0.2436 0.4872 0.9219
0.7564 0.5128 0.4219
0.4009 0.8019 0.1352
0.7564 0.5128 0.0781
0.5991 0.1981 0.8648
0.2436 0.4872 0.5781
0.4009 0.8019 0.3648
0.0000 0.0000 0.0000
0.5991 0.1981 0.6352
0.4264 0.8529 0.5636
0.4264 0.8529 0.9364
0.5736 0.1471 0.4364
0.1845 0.3690 0.7500
0.5736 0.1471 0.0636
0.8155 0.6310 0.2500
0.1161 0.2322 0.2500
0.8839 0.7678 0.7500
```

Space-group type   Cmcm, No. 63
Final energy   -7.983 eV/atom
Formation energy   -0.30 eV per atom
Theoretical density   14.7 Mg/m³

Entry from the Alexandria database: a geometry-optimized PrB2Ir5 structure (PBE).

```
PrB2Ir5
1.0
-1.8227 -3.2056 -1.5348
-0.7404 -4.0803 4.2041
-5.5400 -0.3063 2.0214
Ir Pr B
5 1 2
direct
0.3486 0.4458 0.8570
0.0000 0.5000 0.5000
0.6514 0.1430 0.5542
0.3486 0.8570 0.4458
0.6514 0.5542 0.1430
0.0000 0.0000 0.0000
0.2398 0.2602 0.2602
0.7602 0.7398 0.7398
```

Space-group type   Immm, No. 71
Final energy   -8.125 eV/atom
Formation energy   -0.32 eV per atom
Theoretical density   16.0 Mg/m³

Entry from the Alexandria database: a geometry-optimized PrB2Ir structure (PBE).

```
PrB2Ir
1.0
-2.7180 -2.5341 -0.1402
-0.1683 -2.3907 -2.8433
1.8841 -4.8335 1.5209
B Ir Pr
2 1 1
direct
0.6994 0.6994 0.9017
0.3006 0.3006 0.0983
0.0000 0.0000 0.0000
0.5000 0.5000 0.5000
```

Distance to the lowest polymorph of the same formula   0.149 eV per atom
Space-group type   R-3m, No. 166
Final energy   -7.063 eV/atom
Formation energy   -0.31 eV per atom
Theoretical density   9.9 Mg/m³

Entry from the Alexandria database: a geometry-optimized PrB4Ir4 structure (PBE).

```
PrB4Ir4
1.0
7.7237 0.0000 0.0000
0.0000 7.7237 0.0000
0.0000 0.0000 3.9913
Ir B Pr
8 8 2
direct
0.1592 0.6093 0.1084
0.8408 0.3907 0.1084
0.6592 0.1093 0.3916
0.1093 0.3408 0.6084
0.6093 0.8408 0.8916
0.8907 0.6592 0.6084
0.3907 0.1592 0.8916
0.3408 0.8907 0.3916
0.7795 0.6584 0.1077
0.1584 0.7205 0.6077
0.2795 0.1584 0.3923
0.3416 0.7795 0.8923
0.6584 0.2205 0.8923
0.2205 0.3416 0.1077
0.7205 0.8416 0.3923
0.8416 0.2795 0.6077
0.0000 0.0000 0.0000
0.5000 0.5000 0.5000
```

Distance to the lowest polymorph of the same formula   0.000 eV per atom
Space-group type   P4_2/n, No. 86
Final energy   -7.989 eV/atom
Formation energy   -0.55 eV per atom
Theoretical density   13.3 Mg/m³

Entry from the Alexandria database: a geometry-optimized PrB3Ir3 structure (PBE).

```
PrB3Ir3
1.0
7.5339 1.1142 -1.1749
1.0701 7.3860 -1.2458
-1.1348 -1.2364 7.6777
Ir Pr B
12 4 12
direct
0.7123 0.6740 0.6945
0.8303 0.2923 0.2128
0.6582 0.2728 0.8229
0.9641 0.9403 0.8811
0.2700 0.7465 0.7069
0.1713 0.8469 0.3622
0.1425 0.4079 0.5017
0.2152 0.1286 0.1721
0.3003 0.2698 0.8686
0.4459 0.6153 0.0322
0.7264 0.7616 0.3815
0.4390 0.0651 0.5183
0.6045 0.9611 0.0402
0.9779 0.5266 0.0243
0.4498 0.4617 0.3779
0.9152 0.1433 0.5613
0.3763 0.4283 0.7269
0.3135 0.9891 0.6751
0.0389 0.6803 0.4267
0.9939 0.0111 0.1771
0.8383 0.4992 0.4657
0.1950 0.8204 0.0834
0.7094 0.9543 0.6636
0.9652 0.6921 0.6320
0.5577 0.3364 0.0596
0.2015 0.0414 0.8789
0.5689 0.5639 0.7995
0.4185 0.8697 0.2530
```

Space-group type   P1, No. 1
Final energy   -7.712 eV/atom
Formation energy   -0.37 eV per atom
Theoretical density   12.5 Mg/m³

Entry from the Alexandria database: a geometry-optimized PrB4Ir12 structure (PBE).

```
PrB4Ir12
1.0
-2.3625 -2.5982 -5.8372
4.5022 -4.3116 2.7469
-5.1768 0.9390 4.3273
Ir B Pr
12 4 1
direct
0.1564 0.8288 0.3276
0.8288 0.3276 0.1564
0.1712 0.3276 0.4988
0.6724 0.8436 0.1712
0.5012 0.8288 0.6724
0.3276 0.1564 0.8288
0.3276 0.4988 0.1712
0.8288 0.6724 0.5012
0.1712 0.6724 0.8436
0.4988 0.1712 0.3276
0.8436 0.1712 0.6724
0.6724 0.5012 0.8288
0.5000 0.5000 0.5000
0.5000 0.0000 0.0000
0.0000 0.0000 0.5000
0.0000 0.5000 0.0000
0.0000 0.0000 0.0000
```

Space-group type   Im-3, No. 204
Final energy   -7.905 eV/atom
Formation energy   0.20 eV per atom
Theoretical density   17.0 Mg/m³

Entry from the Alexandria database: a geometry-optimized Pr2B3Ir2 structure (PBE).

```
Pr2B3Ir2
1.0
-0.6108 -3.6007 -1.2605
5.2462 1.4013 -0.6240
-2.7782 -1.7668 6.3932
Ir B Pr
2 3 2
direct
0.7247 0.4493 0.6143
0.2753 0.5507 0.3857
0.3373 0.6746 0.7398
0.6627 0.3254 0.2602
0.5000 0.0000 0.0000
0.9289 0.8578 0.2078
0.0711 0.1422 0.7922
```

Space-group type   C2/m, No. 12
Final energy   -7.136 eV/atom
Formation energy   -0.38 eV per atom
Theoretical density   10.0 Mg/m³

Entry from the Alexandria database: a geometry-optimized PrB6Ir5 structure (PBE).

```
PrB6Ir5
1.0
5.8504 0.6875 -1.6321
-0.3591 5.6302 -1.7825
-1.3026 -1.7427 5.3565
B Pr Ir
6 1 5
direct
0.5849 0.1394 0.5522
0.1796 0.5337 0.6350
0.7493 0.4686 0.9271
0.2507 0.5314 0.0729
0.8204 0.4663 0.3650
0.4151 0.8606 0.4478
0.0000 0.0000 0.0000
0.5212 0.7740 0.0912
0.9311 0.2743 0.6093
0.5000 0.5000 0.5000
0.0688 0.7257 0.3907
0.4788 0.2260 0.9088
```

Space-group type   P-1, No. 2
Final energy   -7.703 eV/atom
Formation energy   -0.27 eV per atom
Theoretical density   13.1 Mg/m³

Entry from the Alexandria database: a geometry-optimized PrBIr structure (PBE).

```
PrBIr
1.0
0.0275 3.6701 -1.6781
-0.1356 -1.0786 -3.8517
-6.6829 -3.6664 2.0894
Ir Pr B
2 2 2
direct
0.8111 0.7029 0.6089
0.1889 0.2971 0.3911
0.4114 0.7549 0.1531
0.5886 0.2451 0.8469
0.1822 0.8194 0.5023
0.8178 0.1806 0.4977
```

Distance to the lowest polymorph of the same formula   0.077 eV per atom
Space-group type   P-1, No. 2
Final energy   -7.213 eV/atom
Formation energy   -0.44 eV per atom
Theoretical density   10.7 Mg/m³

Entry from the Alexandria database: a geometry-optimized PrBIrRh2 structure (PBE).

```
PrBIrRh2
1.0
-1.8146 3.8097 -0.4160
-3.2158 -1.7770 -2.2461
-2.1923 -0.6457 3.6498
Ir Pr Rh B
1 1 2 1
direct
0.5000 0.0000 0.0000
0.5000 0.5000 0.5000
0.0000 0.5000 0.0000
0.0000 0.0000 0.5000
0.0000 0.0000 0.0000
```

Space-group type   P4/mmm, No. 123
Final energy   -7.623 eV/atom
Formation energy   -0.62 eV per atom
Theoretical density   11.6 Mg/m³

Entry from the Alexandria database: a geometry-optimized PrB2IrRu structure (PBE).

```
PrB2IrRu
1.0
-2.9544 1.8948 -1.8284
-1.5205 -3.4712 -1.1404
-0.4802 0.6000 5.6805
B Ir Pr Ru
2 1 1 1
direct
0.6704 0.6704 0.3408
0.3296 0.3296 0.6592
0.7500 0.2500 0.5000
0.0000 0.0000 0.0000
0.2500 0.7500 0.5000
```

Space-group type   I-4m2, No. 119
Final energy   -7.836 eV/atom
Formation energy   -0.58 eV per atom
Theoretical density   9.7 Mg/m³

Entry from the Alexandria database: a geometry-optimized Pr2Si2BIr2 structure (PBE).

```
Pr2Si2BIr2
1.0
-4.0460 -0.1458 1.0975
-2.0567 -5.6435 -0.3155
-0.5667 -1.8837 5.6769
B Pr Ir Si
1 2 2 2
direct
0.0000 0.0000 0.0000
0.5693 0.1702 0.6912
0.4307 0.8298 0.3088
0.2075 0.6791 0.9058
0.7925 0.3209 0.0942
0.1595 0.3911 0.2899
0.8405 0.6089 0.7101
```

Space-group type   C2/m, No. 12
Final energy   -7.302 eV/atom
Uncorrected formation energy   -901 meV per atom
Theoretical density   9.3 Mg/m³

Entry from the Alexandria database: a geometry-optimized B4Ir4Pt structure (PBE).

```
B4Ir4Pt
1.0
3.4355 -0.0004 1.3757
1.6728 5.7126 0.8006
-0.4043 -0.0992 5.9864
Ir B Pt
4 4 1
direct
0.8669 0.8019 0.4664
0.3303 0.5356 0.8037
0.6697 0.4644 0.1963
0.1331 0.1981 0.5336
0.7452 0.1489 0.3589
0.2548 0.8511 0.6411
0.8959 0.3596 0.8488
0.1041 0.6404 0.1512
0.0000 0.0000 0.0000
```

Space-group type   C2/m, No. 12
Final energy   -7.643 eV/atom
Formation energy   -0.07 eV per atom
Theoretical density   13.9 Mg/m³